MgCdHg2 | PBE-GGA | relaxed

Values from the calculation:
Formation energy from the elements (eV per atom): -0.07
Fermi-level density of states (states/eV per cell): 1.131
SG: No. 6

POSCAR file:
```
MgCdHg2
1.0
4.6333 0.0000 0.0000
0.0000 3.4820 0.0598
0.0000 2.2760 5.7675
Mg Hg Cd
1 2 1
Cartesian
0.0000 2.5186 2.5695
0.0000 2.8807 5.5025
2.3166 0.8238 1.7468
2.3166 4.6898 4.6897
```


Pu4Ge2O | PBE-GGA | relaxed

Values from the calculation:
Energy above the lowest structure with this stoichiometry (eV per atom): 0.000
Fermi-level density of states (states/eV per cell): 31.697
SG: No. 139

POSCAR file:
```
Pu4Ge2O
1.0
4.5766 0.0000 0.0000
0.0000 4.5766 0.0000
-2.2883 -2.2883 7.8599
Ge O Pu
2 1 4
Cartesian
2.2883 2.2883 2.0983
0.0000 0.0000 5.7616
0.0000 0.0000 0.0000
2.2883 2.2883 5.0476
0.0000 0.0000 2.8123
0.0000 2.2883 0.0000
2.2883 0.0000 0.0000
```


NbGaRu | PBE-GGA | relaxed

Values from the calculation:
Formation energy from the elements (eV per atom): -0.23
Fermi-level density of states (states/eV per cell): 8.938
SG: No. 8

POSCAR file:
```
NbGaRu
1.0
5.5937 0.0000 0.0074
0.0000 3.9666 0.0000
-3.2268 0.0000 8.5268
Nb Ga Ru
4 4 4
Cartesian
2.9556 0.0000 4.9681
4.5690 1.9833 0.7047
-0.0481 0.0000 7.6438
1.5653 1.9833 3.3804
3.2019 0.0000 2.0758
1.5886 1.9833 6.3392
0.0543 0.0000 4.6883
1.6677 1.9833 0.4249
0.4818 0.0000 2.0072
-1.1315 1.9833 6.2706
2.6551 0.0000 7.7073
4.2685 1.9833 3.4439
```


Tl2In2Ir | PBE-GGA | relaxed

Values from the calculation:
Formation energy from the elements (eV per atom): 0.25
Fermi-level density of states (states/eV per cell): 5.435
SG: No. 127

POSCAR file:
```
Tl2In2Ir
1.0
-4.0543 3.9716 -4.0993
-3.9969 -5.5650 -1.4386
-3.2748 1.2114 4.4125
Tl Ir In
4 2 4
Cartesian
-5.0873 -2.4641 0.4886
-7.6718 -1.2543 -1.7616
-6.2387 2.0820 -1.6140
-3.6542 0.8722 0.6363
0.0000 0.0000 0.0000
-4.0256 -0.7967 -2.7689
-4.7113 -3.3194 -2.5853
-6.0434 -0.3659 -4.3848
-3.3399 1.7260 -2.9526
-2.0078 -1.2276 -1.1531
```


Zn2CuPd3 | PBE-GGA | relaxed

Values from the calculation:
Formation energy from the elements (eV per atom): -0.45
Energy above the lowest structure with this stoichiometry (eV per atom): 0.000
Fermi-level density of states (states/eV per cell): 3.094
SG: No. 65

POSCAR file:
```
Zn2CuPd3
1.0
-3.3745 -1.2307 -2.4682
1.1329 -6.4156 -2.1976
-2.7707 -2.1549 4.8626
Zn Cu Pd
4 2 6
Cartesian
0.0000 0.0000 0.0000
-1.3854 -1.0775 2.4313
-2.1319 -3.6275 0.8758
-2.8804 -6.1736 -0.6790
-0.7359 -2.5719 -1.5591
-1.5057 -5.0743 -3.1067
-4.5155 -4.7744 0.8589
-2.3773 -1.1520 -0.0231
-0.4968 -5.0267 -0.6621
-3.1298 -3.6967 -1.5730
-1.8825 -6.1044 1.7698
-3.7679 -2.2336 2.4175
```


MgBCl | PBE-GGA | relaxed

Values from the calculation:
Energy above the lowest structure with this stoichiometry (eV per atom): 0.180
Fermi-level density of states (states/eV per cell): 0.751
SG: No. 8

POSCAR file:
```
MgBCl
1.0
3.2313 0.0000 0.0011
0.0000 4.9003 0.0000
-2.4276 0.0000 13.1713
Mg B Cl
4 4 4
Cartesian
0.3507 0.0000 9.6301
1.5645 2.4502 3.0445
2.8298 0.0000 0.6164
1.6160 2.4502 7.2020
0.7124 0.0000 7.3005
1.9262 2.4502 0.7149
-0.9655 0.0000 7.4078
0.2483 2.4502 0.8221
1.2635 0.0000 2.7676
0.0498 2.4502 9.3532
-1.3041 0.0000 11.4858
-0.0903 2.4502 4.9002
```